TaMnNiRu after structural relaxation. Source: the Alexandria database, functional PBE.

E_form: -0.139 eV/atom

```
TaMnNiRu
1.0
6.1196 0.0000 0.0000
0.0000 6.1196 0.0000
0.0000 0.0000 6.1196
Ta Mn Ni Ru
4 4 4 4
Direct
0.0000 0.0000 0.0000
0.0000 0.5000 0.5000
0.5000 0.0000 0.5000
0.5000 0.5000 0.0000
0.0000 0.0000 0.5000
0.0000 0.5000 0.0000
0.5000 0.0000 0.0000
0.5000 0.5000 0.5000
0.2500 0.2500 0.2500
0.2500 0.7500 0.7500
0.7500 0.2500 0.7500
0.7500 0.7500 0.2500
0.2500 0.2500 0.7500
0.2500 0.7500 0.2500
0.7500 0.2500 0.2500
0.7500 0.7500 0.7500
```

Pr2InNi2Pt5 after structural relaxation. Source: the Alexandria database, functional PBE.

E_form: -0.759 eV/atom

```
Pr2InNi2Pt5
1.0
9.4614 0.0000 0.0000
0.0000 9.4614 0.0000
0.0000 0.0000 4.0436
Pr In Ni Pt
4 2 4 10
Direct
0.1756 0.3244 0.0000
0.3244 0.8244 0.0000
0.6756 0.1756 0.0000
0.8244 0.6756 0.0000
0.0000 0.0000 0.0000
0.5000 0.5000 0.0000
0.1211 0.6211 0.0000
0.3789 0.1211 0.0000
0.6211 0.8789 0.0000
0.8789 0.3789 0.0000
0.0000 0.5000 0.5000
0.0686 0.7878 0.5000
0.2122 0.0686 0.5000
0.2878 0.5686 0.5000
0.4314 0.2878 0.5000
0.5000 0.0000 0.5000
0.5686 0.7122 0.5000
0.7122 0.4314 0.5000
0.7878 0.9314 0.5000
0.9314 0.2122 0.5000
```

KOsBr after structural relaxation. Source: the Alexandria database, functional PBE.

Relative energy among the computed polymorphs: 140.6 meV per atom
Energy relative to the elements, uncorrected: 1076.5 meV/atom

```
KOsBr
1.0
2.8445 0.0000 0.0000
0.0000 5.8891 0.0000
0.0000 0.0000 9.6880
K Os Br
2 2 2
Direct
0.0000 0.0000 0.0000
0.5000 0.5000 0.5000
0.0000 0.0000 0.3853
0.5000 0.5000 0.8853
0.0000 0.0000 0.6273
0.5000 0.5000 0.1273
```

HRuPb2Se after structural relaxation. Source: the Alexandria database, functional PBE.

Energy: -20.78 eV for the cell shown

```
HRuPb2Se
1.0
5.3850 0.0000 0.0000
0.0000 5.3850 0.0000
0.0000 0.0000 4.6871
H Ru Pb Se
1 1 2 1
Direct
0.0000 0.0000 0.0000
0.5000 0.5000 0.5000
0.0000 0.5000 0.5000
0.5000 0.0000 0.5000
0.5000 0.5000 0.0000
```

Tm3Si2Pd3 after structural relaxation. Source: the Alexandria database, functional PBE.

Energy relative to the elements, uncorrected: -956.0 meV/atom

```
Tm3Si2Pd3
1.0
7.4278 0.0000 0.0000
0.0000 15.0621 0.0000
0.0000 0.0000 5.5455
Tm Si Pd
12 8 12
Direct
0.0278 0.1090 0.1359
0.0278 0.3910 0.1359
0.1691 0.2500 0.6242
0.3309 0.7500 0.1242
0.4722 0.6090 0.6359
0.4722 0.8910 0.6359
0.5278 0.1090 0.3641
0.5278 0.3910 0.3641
0.6691 0.2500 0.8758
0.8309 0.7500 0.3758
0.9722 0.6090 0.8641
0.9722 0.8910 0.8641
0.1191 0.6085 0.3604
0.1191 0.8915 0.3604
0.3809 0.1085 0.8604
0.3809 0.3915 0.8604
0.6191 0.6085 0.1396
0.6191 0.8915 0.1396
0.8809 0.1085 0.6396
0.8809 0.3915 0.6396
0.1765 0.0331 0.5925
0.1765 0.4669 0.5925
0.1875 0.7500 0.6166
0.3125 0.2500 0.1166
0.3235 0.5331 0.0925
0.3235 0.9669 0.0925
0.6765 0.0331 0.9075
0.6765 0.4669 0.9075
0.6875 0.7500 0.8834
0.8125 0.2500 0.3834
0.8235 0.5331 0.4075
0.8235 0.9669 0.4075
```

Sm4TlPt after structural relaxation. Source: the Alexandria database, functional PBE.

Relative energy among the computed polymorphs: 191.1 meV per atom
E_form: -0.388 eV/atom

```
Sm4TlPt
1.0
7.5383 0.0000 0.0000
0.0000 7.3577 0.0000
-0.3582 0.0000 7.1303
Sm Tl Pt
8 2 2
Direct
0.1435 0.1635 0.1752
0.1435 0.3366 0.6752
0.3255 0.6430 0.1185
0.3255 0.8570 0.6185
0.6745 0.1430 0.3815
0.6745 0.3570 0.8815
0.8565 0.6634 0.3248
0.8565 0.8366 0.8248
0.5000 0.0000 0.0000
0.5000 0.5000 0.5000
0.0000 0.0000 0.5000
0.0000 0.5000 0.0000
```

ZnC3 after structural relaxation. Source: the Alexandria database, functional PBE.

Relative energy among the computed polymorphs: 1850.5 meV per atom
E_form: 2.303 eV/atom

```
ZnC3
1.0
3.5661 0.0000 0.0000
-1.7831 3.0883 0.0000
0.0000 0.0000 4.2843
Zn C
1 3
Direct
0.0000 0.0000 0.0000
0.0000 0.0000 0.5000
0.3333 0.6667 0.3435
0.3333 0.6667 0.6565
```

TaCo after structural relaxation. Source: the Alexandria database, functional PBE.

E_form: -0.182 eV/atom

```
TaCo
1.0
3.3216 0.0000 0.0000
0.0000 3.8215 0.0000
0.0000 0.0000 13.6922
Ta Co
6 6
Direct
0.0000 0.0000 0.0000
0.0000 0.5000 0.1790
0.0000 0.5000 0.8210
0.5000 0.0000 0.3210
0.5000 0.0000 0.6790
0.5000 0.5000 0.5000
0.0000 0.0000 0.5000
0.0000 0.5000 0.3610
0.0000 0.5000 0.6390
0.5000 0.0000 0.1390
0.5000 0.0000 0.8610
0.5000 0.5000 0.0000
```

Sm4Ge2Se after structural relaxation. Source: the Alexandria database, functional PBE.

Energy relative to the elements, uncorrected: -1057.3 meV/atom

```
Sm4Ge2Se
1.0
-4.4882 4.4882 4.4988
4.4882 -4.4882 4.4988
4.4882 4.4882 -4.4988
Sm Ge Se
8 4 2
Direct
0.1195 0.0047 0.7455
0.1240 0.5092 0.7545
0.2592 0.3740 0.2545
0.4908 0.2453 0.6148
0.6260 0.8805 0.8852
0.6305 0.8760 0.3852
0.7547 0.3695 0.2455
0.9953 0.7408 0.1148
0.0020 0.1250 0.3770
0.3750 0.9980 0.1230
0.7480 0.6250 0.6230
0.8750 0.2520 0.8770
0.2500 0.7500 0.5000
0.5000 0.5000 0.0000
```

LaNb3Se after structural relaxation. Source: the Alexandria database, functional PBE.

Relative energy among the computed polymorphs: 1470.8 meV per atom
Energy relative to the elements, uncorrected: 1828.7 meV/atom

```
LaNb3Se
1.0
4.9333 0.0000 0.0000
0.0000 4.9333 0.0000
0.0000 0.0000 4.9333
La Nb Se
1 3 1
Direct
0.0000 0.0000 0.0000
0.0000 0.0000 0.5000
0.0000 0.5000 0.0000
0.5000 0.0000 0.0000
0.5000 0.5000 0.5000
```

NdNbPd after structural relaxation. Source: the Alexandria database, functional PBE.

E_form: -0.084 eV/atom

```
NdNbPd
1.0
4.9782 0.0000 0.0000
0.0000 4.9946 0.0000
0.0000 0.0000 10.7184
Nd Nb Pd
4 4 4
Direct
0.0000 0.0000 0.1734
0.0000 0.0000 0.8266
0.5000 0.5000 0.1734
0.5000 0.5000 0.8266
0.0000 0.5000 0.3803
0.0000 0.5000 0.6197
0.5000 0.0000 0.3803
0.5000 0.0000 0.6197
0.0000 0.0000 0.5000
0.0000 0.5000 0.0000
0.5000 0.0000 0.0000
0.5000 0.5000 0.5000
```

TeMoPb2 after structural relaxation. Source: the Alexandria database, functional PBE.

Energy relative to the elements, uncorrected: 146.4 meV/atom

```
TeMoPb2
1.0
3.4170 0.0000 0.0000
-1.7085 2.9592 0.0000
0.0000 0.0000 31.4601
Te Mo Pb
3 3 6
Direct
0.0000 0.0000 0.0000
0.3333 0.6667 0.6667
0.6667 0.3333 0.3333
0.0000 0.0000 0.2760
0.3333 0.6667 0.9426
0.6667 0.3333 0.6093
0.0000 0.0000 0.5365
0.0000 0.0000 0.7729
0.3333 0.6667 0.2032
0.3333 0.6667 0.4396
0.6667 0.3333 0.1062
0.6667 0.3333 0.8699
```

Nd4BiPb2 after structural relaxation. Source: the Alexandria database, functional PBE.

Relative energy among the computed polymorphs: 175.3 meV per atom
E_form: -0.493 eV/atom

```
Nd4BiPb2
1.0
6.3645 0.0000 0.0000
0.0000 6.7544 0.0000
-1.5291 0.0000 10.6600
Nd Bi Pb
8 2 4
Direct
0.0389 0.2500 0.1578
0.1479 0.7500 0.4474
0.4213 0.0106 0.7305
0.4213 0.4894 0.7305
0.5787 0.5106 0.2695
0.5787 0.9894 0.2695
0.8521 0.2500 0.5526
0.9611 0.7500 0.8422
0.0428 0.7500 0.1544
0.9572 0.2500 0.8456
0.2989 0.2500 0.4522
0.4972 0.7500 0.9933
0.5028 0.2500 0.0067
0.7011 0.7500 0.5478
```

GdNb5Ag2O15 after structural relaxation. Source: the Alexandria database, functional PBE.

Energy relative to the elements, uncorrected: -2284.4 meV/atom

```
GdNb5Ag2O15
1.0
12.7433 0.0000 0.0000
0.0000 12.7433 0.0000
0.0000 0.0000 3.9310
Gd Nb Ag O
2 10 4 30
Direct
0.0000 0.0000 0.0000
0.5000 0.5000 0.0000
0.0000 0.5000 0.5000
0.0764 0.2121 0.5000
0.2121 0.9236 0.5000
0.2879 0.4236 0.5000
0.4236 0.7121 0.5000
0.5000 0.0000 0.5000
0.5764 0.2879 0.5000
0.7121 0.5764 0.5000
0.7879 0.0764 0.5000
0.9236 0.7879 0.5000
0.1863 0.6863 0.0000
0.3137 0.1863 0.0000
0.6863 0.8137 0.0000
0.8137 0.3137 0.0000
0.0000 0.5000 0.0000
0.0011 0.3416 0.5000
0.0547 0.8687 0.5000
0.0842 0.1856 0.0000
0.1313 0.0547 0.5000
0.1584 0.4989 0.5000
0.1856 0.9158 0.0000
0.2243 0.2757 0.5000
0.2757 0.7757 0.5000
0.3144 0.4158 0.0000
0.3416 0.9989 0.5000
0.3687 0.5547 0.5000
0.4158 0.6856 0.0000
0.4453 0.3687 0.5000
0.4989 0.8416 0.5000
0.5000 0.0000 0.0000
0.5011 0.1584 0.5000
0.5547 0.6313 0.5000
0.5842 0.3144 0.0000
0.6313 0.4453 0.5000
0.6584 0.0011 0.5000
0.6856 0.5842 0.0000
0.7243 0.2243 0.5000
0.7757 0.7243 0.5000
0.8144 0.0842 0.0000
0.8416 0.5011 0.5000
0.8687 0.9453 0.5000
0.9158 0.8144 0.0000
0.9453 0.1313 0.5000
0.9989 0.6584 0.5000
```

Be3Sb5 after structural relaxation. Source: the Alexandria database, functional PBE.

Energy relative to the elements, uncorrected: 439.0 meV/atom

```
Be3Sb5
1.0
7.2937 0.0000 0.0000
-3.6468 6.3165 0.0000
0.0000 0.0000 8.7263
Be Sb
6 10
Direct
0.0000 0.3465 0.2500
0.0000 0.6535 0.7500
0.3465 0.0000 0.2500
0.3465 0.3465 0.7500
0.6535 0.0000 0.7500
0.6535 0.6535 0.2500
0.0000 0.3237 0.7500
0.0000 0.6763 0.2500
0.3237 0.0000 0.7500
0.3237 0.3237 0.2500
0.3333 0.6667 0.0000
0.3333 0.6667 0.5000
0.6667 0.3333 0.0000
0.6667 0.3333 0.5000
0.6763 0.0000 0.2500
0.6763 0.6763 0.7500
```

RbCa2MoP after structural relaxation. Source: the Alexandria database, functional PBE.

E_form: 0.209 eV/atom

```
RbCa2MoP
1.0
5.7361 0.0000 0.0000
0.0000 5.7361 0.0000
0.0000 0.0000 4.7067
Rb Ca Mo P
1 2 1 1
Direct
0.0000 0.0000 0.0000
0.0000 0.5000 0.5000
0.5000 0.0000 0.5000
0.5000 0.5000 0.0000
0.5000 0.5000 0.5000
```

CaZrCr2Os after structural relaxation. Source: the Alexandria database, functional PBE.

E_form: 0.683 eV/atom

```
CaZrCr2Os
1.0
4.8712 0.0000 0.0000
0.0000 4.8712 0.0000
0.0000 0.0000 5.0161
Ca Zr Cr Os
1 1 2 1
Direct
0.0000 0.0000 0.0000
0.5000 0.5000 0.0000
0.0000 0.5000 0.5000
0.5000 0.0000 0.5000
0.5000 0.5000 0.5000
```

PrGd2S after structural relaxation. Source: the Alexandria database, functional PBE.

Energy relative to the elements, uncorrected: -787.9 meV/atom

```
PrGd2S
1.0
3.7146 0.0000 0.0000
-1.8573 3.2169 0.0000
0.0000 0.0000 30.8091
Pr Gd S
3 6 3
Direct
0.0000 0.0000 0.0000
0.3333 0.6667 0.6667
0.6667 0.3333 0.3333
0.0000 0.0000 0.1129
0.0000 0.0000 0.8871
0.3333 0.6667 0.5538
0.3333 0.6667 0.7795
0.6667 0.3333 0.2205
0.6667 0.3333 0.4462
0.0000 0.0000 0.5000
0.3333 0.6667 0.1667
0.6667 0.3333 0.8333
```

Tm2ZnCd2 after structural relaxation. Source: the Alexandria database, functional PBE.

E_form: -0.206 eV/atom

```
Tm2ZnCd2
1.0
3.4739 0.0000 0.0000
0.0000 20.3848 0.0000
0.0000 0.0000 3.4243
Tm Zn Cd
4 2 4
Direct
0.0000 0.0865 0.0000
0.0000 0.9135 0.0000
0.5000 0.4135 0.0000
0.5000 0.5865 0.0000
0.0000 0.5000 0.5000
0.5000 0.0000 0.5000
0.0000 0.3087 0.5000
0.0000 0.6913 0.5000
0.5000 0.1913 0.5000
0.5000 0.8087 0.5000
```

AsI after structural relaxation. Source: the Alexandria database, functional PBE.

Energy relative to the elements, uncorrected: 57.0 meV/atom

```
AsI
1.0
4.4395 0.0000 0.0000
0.0000 12.4727 0.0000
0.0000 0.0000 9.2921
As I
6 6
Direct
0.2500 0.1446 0.0379
0.2500 0.3554 0.0379
0.2500 0.7500 0.0602
0.7500 0.2500 0.9398
0.7500 0.6446 0.9621
0.7500 0.8554 0.9621
0.2500 0.0930 0.3071
0.2500 0.2500 0.7158
0.2500 0.4070 0.3071
0.7500 0.5930 0.6929
0.7500 0.7500 0.2842
0.7500 0.9070 0.6929
```